Below is an optimized crystal structure of HoScTlRh, with properties calculated at the PBE level.

Unit cell a=7.026 b=7.026 c=7.026 alpha=90.00 beta=90.00 gamma=90.00
Space group F-43m (No. 216)
Symmetry-distinct sites (fractional):
1 Ho 0.000 0.000 0.000 [4 per cell]
2 Sc 0.000 0.000 0.500 [4 per cell]
3 Tl 0.250 0.250 0.250 [4 per cell]
4 Rh 0.250 0.250 0.750 [4 per cell]

energy relative to the elements: -2.0 eV per formula unit
energy above the lowest structure with this stoichiometry: 133.0 meV/atom

***

Below is an optimized crystal structure of HoScTlRh, with properties calculated at the PBE level.

Unit cell a=3.419 b=3.419 c=7.439 alpha=90.00 beta=90.00 gamma=90.00
Space group P4mm (No. 99)
Symmetry-distinct sites (fractional):
1 Ho 0.000 0.000 0.000 [1 per cell]
2 Sc 0.000 0.000 0.572 [1 per cell]
3 Tl 0.500 0.500 0.304 [1 per cell]
4 Rh 0.500 0.500 0.764 [1 per cell]

energy relative to the elements: -2.5 eV per formula unit
energy above the lowest structure with this stoichiometry: 0.0 meV/atom

***

Below is an optimized crystal structure of HoTmScRh, with properties calculated at the PBE level.

Unit cell a=7.117 b=7.117 c=7.117 alpha=90.00 beta=90.00 gamma=90.00
Space group F-43m (No. 216)
Symmetry-distinct sites (fractional):
1 Ho 0.000 0.000 0.000 [4 per cell]
2 Tm 0.000 0.000 0.500 [4 per cell]
3 Sc 0.250 0.250 0.750 [4 per cell]
4 Rh 0.250 0.250 0.250 [4 per cell]

energy relative to the elements: -0.9 eV per formula unit

***

Below is an optimized crystal structure of HoTmSc2Rh4, with properties calculated at the PBE level.

Unit cell a=4.6895 b=4.6895 c=22.9430 alpha=90.00 beta=90.00 gamma=120.00
Space group R-3m (No. 166, hexagonal axes)
Symmetry-distinct sites (fractional):
1 Ho 0.0000 0.0000 0.0000 [3 per cell]
2 Tm 0.0000 0.0000 0.5000 [3 per cell]
3 Sc 0.0000 0.0000 0.2495 [6 per cell]
4 Rh 0.0000 0.0000 0.1255 [6 per cell]
5 Rh 0.0000 0.0000 0.3755 [6 per cell]

energy relative to the elements: -7.7 eV per formula unit

***

Below is an optimized crystal structure of YHoScRh, with properties calculated at the PBE level.

Unit cell a=7.174 b=7.174 c=7.174 alpha=90.00 beta=90.00 gamma=90.00
Space group F-43m (No. 216)
Symmetry-distinct sites (fractional):
1 Y 0.000 0.000 0.000 [4 per cell]
2 Ho 0.000 0.000 0.500 [4 per cell]
3 Sc 0.250 0.250 0.750 [4 per cell]
4 Rh 0.250 0.250 0.250 [4 per cell]

energy relative to the elements: -0.8 eV per formula unit

***

Below is an optimized crystal structure of Ho2ScZn2Rh5, with properties calculated at the PBE level.

Unit cell a=9.753 b=9.753 c=3.613 alpha=90.00 beta=90.00 gamma=90.00
Space group P4/mbm (No. 127)
Symmetry-distinct sites (fractional):
1 Ho 0.172 0.328 0.000 [4 per cell]
2 Sc 0.000 0.000 0.000 [2 per cell]
3 Zn 0.124 0.624 0.000 [4 per cell]
4 Rh 0.000 0.500 0.500 [2 per cell]
5 Rh 0.071 0.797 0.500 [8 per cell]

energy relative to the elements: -7.0 eV per formula unit

***

Below is an optimized crystal structure of Ho5Rh2Se2, with properties calculated at the PBE level.

Unit cell a=14.911 b=7.585 c=7.565 alpha=90.00 beta=90.00 gamma=90.00
Space group Cmce (No. 64)
Symmetry-distinct sites (fractional):
1 Ho 0.000 0.000 0.000 [4 per cell]
2 Ho 0.125 0.162 0.343 [16 per cell]
3 Rh 0.000 0.140 0.638 [8 per cell]
4 Se 0.208 0.000 0.000 [8 per cell]

formation energy without anion corrections: -1.16 eV/atom

***

Below is an optimized crystal structure of Ho3RhSe2, with properties calculated at the PBE level.

Unit cell a=4.054 b=4.054 c=17.381 alpha=90.00 beta=90.00 gamma=90.00
Space group I4/mmm (No. 139)
Symmetry-distinct sites (fractional):
1 Ho 0.000 0.000 0.000 [2 per cell]
2 Ho 0.000 0.000 0.346 [4 per cell]
3 Rh 0.000 0.000 0.500 [2 per cell]
4 Se 0.000 0.000 0.175 [4 per cell]

formation energy without anion corrections: -1.39 eV/atom

***

Below is an optimized crystal structure of Ho5RhSe4, with properties calculated at the PBE level.

Unit cell a=4.040 b=4.040 c=29.047 alpha=90.00 beta=90.00 gamma=90.00
Space group I4/mmm (No. 139)
Symmetry-distinct sites (fractional):
1 Ho 0.000 0.000 0.000 [2 per cell]
2 Ho 0.000 0.000 0.206 [4 per cell]
3 Ho 0.000 0.000 0.408 [4 per cell]
4 Rh 0.000 0.000 0.500 [2 per cell]
5 Se 0.000 0.000 0.105 [4 per cell]
6 Se 0.000 0.000 0.306 [4 per cell]

formation energy without anion corrections: -1.53 eV/atom

***

Below is an optimized crystal structure of Ho6RhSe5, with properties calculated at the PBE level.

Unit cell a=7.092 b=12.271 c=7.042 alpha=90.00 beta=109.68 gamma=90.00
Space group C2/m (No. 12)
Symmetry-distinct sites (fractional):
1 Ho 0.235 0.000 0.259 [4 per cell]
2 Ho 0.235 0.158 0.735 [8 per cell]
3 Rh 0.000 0.000 0.500 [2 per cell]
4 Se 0.000 0.176 0.000 [4 per cell]
5 Se 0.000 0.335 0.500 [4 per cell]
6 Se 0.000 0.500 0.000 [2 per cell]

formation energy without anion corrections: -1.60 eV/atom

***

Below is an optimized crystal structure of Ho7RhSe5, with properties calculated at the PBE level.

Unit cell a=3.932 b=13.369 c=24.328 alpha=90.00 beta=90.00 gamma=90.00
Space group Cmc2_1 (No. 36)
Symmetry-distinct sites (fractional):
1 Ho 0.000 0.046 0.000 [4 per cell]
2 Ho 0.000 0.133 0.716 [4 per cell]
3 Ho 0.000 0.146 0.290 [4 per cell]
4 Ho 0.000 0.289 0.933 [4 per cell]
5 Ho 0.000 0.303 0.069 [4 per cell]
6 Ho 0.000 0.398 0.626 [4 per cell]
7 Ho 0.000 0.420 0.364 [4 per cell]
8 Rh 0.000 0.309 0.509 [4 per cell]
9 Se 0.000 0.051 0.609 [4 per cell]
10 Se 0.000 0.063 0.396 [4 per cell]
11 Se 0.000 0.214 0.823 [4 per cell]
12 Se 0.000 0.227 0.180 [4 per cell]
13 Se 0.000 0.491 0.750 [4 per cell]

formation energy without anion corrections: -1.48 eV/atom

***

Below is an optimized crystal structure of Ho4RhSe2, with properties calculated at the PBE level.

Unit cell a=3.817 b=13.093 c=14.091 alpha=90.00 beta=90.00 gamma=90.00
Space group Cmcm (No. 63)
Symmetry-distinct sites (fractional):
1 Ho 0.000 0.000 0.000 [4 per cell]
2 Ho 0.000 0.295 0.129 [8 per cell]
3 Ho 0.000 0.452 0.750 [4 per cell]
4 Rh 0.000 0.105 0.750 [4 per cell]
5 Se 0.000 0.358 0.565 [8 per cell]

formation energy without anion corrections: -1.24 eV/atom